1.
Material: CdTe2Ir
Method: DFT, GGA-PBE
State: relaxed

Computed properties:
Space-group type: Cm (8)
Formation energy without anion corrections in meV per atom: -56.8
V in Å³ per atom: 27.66

CIF file:
```
data_CdTe2Ir
_cell_length_a 5.317
_cell_length_b 5.317
_cell_length_c 6.101
_cell_angle_alpha 70.88
_cell_angle_beta 70.88
_cell_angle_gamma 43.27
_symmetry_space_group_name_H-M 'P 1'
_symmetry_Int_Tables_number 1
loop_
_symmetry_equiv_pos_as_xyz
'x,y,z'
loop_
_atom_site_label
_atom_site_type_symbol
_atom_site_fract_x
_atom_site_fract_y
_atom_site_fract_z
Ir1 Ir 0.297 0.297 0.381
Cd1 Cd 0.575 0.575 0.352
Te1 Te 0.729 0.729 0.691
Te2 Te 0.899 0.899 0.076
```


2.
Material: LaSn2P2
Method: DFT, GGA-PBE
State: relaxed

Computed properties:
Space-group type: I4/mmm (139)
Calculated formation energy in meV per atom: -262
V in Å³ per atom: 25.61

CIF file:
```
data_LaSn2P2
_cell_length_a 5.318
_cell_length_b 5.318
_cell_length_c 5.886
_cell_angle_alpha 63.14
_cell_angle_beta 63.14
_cell_angle_gamma 90.00
_symmetry_space_group_name_H-M 'P 1'
_symmetry_Int_Tables_number 1
loop_
_symmetry_equiv_pos_as_xyz
'x,y,z'
loop_
_atom_site_label
_atom_site_type_symbol
_atom_site_fract_x
_atom_site_fract_y
_atom_site_fract_z
P1 P 0.250 0.750 0.500
P2 P 0.750 0.250 0.500
La1 La 0.000 0.000 0.000
Sn1 Sn 0.659 0.659 0.682
Sn2 Sn 0.341 0.341 0.318
```


3.
Material: HoPu2Sc
Method: DFT, GGA-PBE
State: relaxed

Computed properties:
Space-group type: R3m (160)
Relative energy among the computed polymorphs in meV per atom: 0
Calculated formation energy in meV per atom: 160
V in Å³ per atom: 27.35

CIF file:
```
data_HoPu2Sc
_cell_length_a 3.390
_cell_length_b 3.390
_cell_length_c 11.165
_cell_angle_alpha 81.27
_cell_angle_beta 81.27
_cell_angle_gamma 60.00
_symmetry_space_group_name_H-M 'P 1'
_symmetry_Int_Tables_number 1
loop_
_symmetry_equiv_pos_as_xyz
'x,y,z'
loop_
_atom_site_label
_atom_site_type_symbol
_atom_site_fract_x
_atom_site_fract_y
_atom_site_fract_z
Pu1 Pu 0.252 0.252 0.243
Pu2 Pu 0.081 0.081 0.757
Sc1 Sc 0.667 0.667 0.999
Ho1 Ho 0.500 0.500 0.501
```